(1)
The following is a PBE calculation of K2Ag12Se7 after structural relaxation, from Alexandria via LeMat-Bulk.

Lattice parameters (Å, degrees): 4.543 10.942 10.942 120.00 90.00 90.00
Element x y z (fractional)
Ag 0.701 0.054 0.402
Ag 0.800 0.900 0.752
Ag 0.800 0.852 0.100
K 0.742 0.667 0.333
Ag 0.200 0.100 0.248
Se 0.219 0.886 0.312
Ag 0.299 0.652 0.054
Ag 0.800 0.248 0.148
Ag 0.299 0.402 0.348
Se 0.781 0.574 0.886
Se 0.781 0.312 0.426
Ag 0.701 0.348 0.946
Se 0.219 0.688 0.574
Ag 0.701 0.598 0.652
Ag 0.299 0.946 0.598
Se 0.500 0.000 0.000
Ag 0.200 0.148 0.900
K 0.258 0.333 0.667
Se 0.781 0.114 0.688
Se 0.219 0.426 0.114
Ag 0.200 0.752 0.852

Calculated values
Uncorrected formation energy = -0.2541 eV per atom
Raw total energy = -3.1494 eV per atom
ρ = 6.79 Mg/m³

(2)
The following is a PBE calculation of Be3CrH after structural relaxation, from Alexandria via LeMat-Bulk.

Lattice parameters (Å, degrees): 3.352 3.352 3.352 90.00 90.00 90.00
Last column: magnetic moment on the atom in μB.
Element x y z (fractional)
H 0.000 0.000 0.000  0.04
Be 0.000 0.000 0.500  -0.02
Be 0.000 0.500 0.000  -0.03
Cr 0.500 0.500 0.500  0.79
Be 0.500 0.000 0.000  -0.02

Calculated values
Raw total energy = -4.6761 eV per atom
ρ = 3.53 Mg/m³

(3)
The following is a PBE calculation of La4Tb2Y after structural relaxation, from Alexandria via LeMat-Bulk.

Lattice parameters (Å, degrees): 12.783 12.783 6.905 97.00 97.00 150.26
Element x y z (fractional)
Y 0.666 0.417 0.001
La 0.714 0.176 0.864
La 0.036 0.143 0.597
Tb 0.921 0.104 0.044
La 0.143 0.036 0.097
Tb 0.104 0.921 0.544
Tb 0.310 0.627 0.957
La 0.188 0.795 0.903
La 0.562 0.600 0.137
La 0.600 0.562 0.637
Tb 0.627 0.310 0.457
La 0.176 0.714 0.364
Y 0.417 0.666 0.501
La 0.795 0.188 0.403

Calculated values
Raw total energy = -4.9935 eV per atom
Formation energy = 0.0685 eV/atom
ρ = 6.49 Mg/m³

(4)
The following is a PBE calculation of Ba2TaAlO6 after structural relaxation, from Alexandria via LeMat-Bulk.

Lattice parameters (Å, degrees): 5.820 5.820 10.050 73.17 73.17 60.00
Element x y z (fractional)
O 0.798 0.798 0.116
Al 0.000 0.000 0.000
O 0.840 0.395 0.370
O 0.202 0.202 0.884
Ba 0.868 0.868 0.397
O 0.160 0.605 0.630
Ba 0.132 0.132 0.603
O 0.605 0.160 0.630
Al 0.500 0.500 0.500
O 0.288 0.798 0.116
O 0.202 0.712 0.884
O 0.798 0.288 0.116
Ba 0.282 0.282 0.153
O 0.395 0.395 0.370
O 0.395 0.840 0.370
O 0.712 0.202 0.884
Ta 0.407 0.407 0.780
O 0.605 0.605 0.630
Ba 0.718 0.718 0.847
Ta 0.593 0.593 0.220

Calculated values
Uncorrected formation energy = -2.9583 eV per atom
Raw total energy = -7.8773 eV per atom
ρ = 6.92 Mg/m³

(5)
The following is a PBE calculation of Li4GeS4 after structural relaxation, from Alexandria via LeMat-Bulk.

Lattice parameters (Å, degrees): 6.216 7.786 14.165 90.00 90.00 90.00
Element x y z (fractional)
Li 0.686 0.498 0.178
Li 0.500 0.000 0.000
Li 0.628 0.250 0.414
Li 0.814 0.002 0.678
S 0.217 0.487 0.656
Ge 0.150 0.250 0.089
S 0.231 0.250 0.438
Ge 0.850 0.750 0.911
Li 0.372 0.750 0.586
Li 0.314 0.998 0.822
Li 0.186 0.998 0.322
S 0.283 0.013 0.156
S 0.783 0.987 0.344
S 0.291 0.750 0.414
S 0.783 0.513 0.344
S 0.709 0.250 0.586
Li 0.500 0.500 0.000
S 0.717 0.513 0.844
S 0.717 0.987 0.844
S 0.769 0.750 0.562
S 0.217 0.013 0.656
Li 0.000 0.500 0.500
Li 0.314 0.502 0.822
Li 0.128 0.750 0.086
S 0.209 0.750 0.914
Li 0.872 0.250 0.914
Li 0.000 0.000 0.500
S 0.731 0.750 0.062
Li 0.814 0.498 0.678
Li 0.686 0.002 0.178
S 0.269 0.250 0.938
S 0.791 0.250 0.086
Ge 0.350 0.250 0.589
Ge 0.650 0.750 0.411
Li 0.186 0.502 0.322
S 0.283 0.487 0.156

Calculated values
Uncorrected formation energy = -1.0618 eV per atom
Raw total energy = -4.2598 eV per atom
ρ = 2.22 Mg/m³

(6)
The following is a PBE calculation of BaSr2MgI8 after structural relaxation, from Alexandria via LeMat-Bulk.

Lattice parameters (Å, degrees): 7.740 7.417 9.819 89.99 90.00 89.08
Element x y z (fractional)
Mg 0.000 0.000 0.000
I 0.153 0.771 0.785
I 0.677 0.757 0.000
Sr 0.500 0.500 0.765
I 0.358 0.270 0.500
I 0.153 0.771 0.215
I 0.642 0.730 0.500
I 0.847 0.229 0.215
Sr 0.500 0.500 0.235
I 0.323 0.243 0.000
I 0.847 0.229 0.785
Ba 0.000 0.000 0.500

Calculated values
Uncorrected formation energy = -1.5045 eV per atom
Raw total energy = -3.1113 eV per atom
ρ = 3.98 Mg/m³

(7)
The following is a PBE calculation of Sm2Y2Sc after structural relaxation, from Alexandria via LeMat-Bulk.

Lattice parameters (Å, degrees): 5.376 6.968 8.769 90.00 107.85 90.00
Element x y z (fractional)
Sm 0.397 0.577 0.794
Y 0.000 0.826 0.000
Y 0.000 0.326 0.000
Sm 0.603 0.077 0.206
Sm 0.802 0.830 0.604
Sc 0.389 0.076 0.778
Y 0.800 0.326 0.601
Sc 0.611 0.576 0.222
Sm 0.198 0.330 0.396
Y 0.200 0.826 0.399

Calculated values
Raw total energy = -5.6578 eV per atom
Formation energy = 0.0818 eV/atom
ρ = 5.56 Mg/m³

(8)
The following is a PBE calculation of InFe2Au after structural relaxation, from Alexandria via LeMat-Bulk.

Lattice parameters (Å, degrees): 4.865 4.865 2.860 90.00 90.00 110.40
Last column: magnetic moment on the atom in μB.
Element x y z (fractional)
Fe 0.000 0.000 0.000  2.71
Au 0.000 0.500 0.500  0.00
In 0.500 0.000 0.500  -0.09
Fe 0.500 0.500 0.000  2.71

Calculated values
Raw total energy = -5.5098 eV per atom
Formation energy = 0.2255 eV/atom
ρ = 11.08 Mg/m³